# 1
HoTmTeS: optimized geometry, PBE-GGA.

Cell: 3.969 3.969 7.438 Å, 90.00 105.47 120.00°
Fractional positions:
Ho 0.107 0.951 0.074
Tm 0.497 0.147 0.659
Te 0.969 0.383 0.367
S 0.304 0.550 0.870

Summary:
**Magnetic moment**: 0.00 μB/f.u.
**Formation energy without anion corrections**: -1.63 eV/atom
**Symmetry**: No. 160
**D(E_F)**: 0.19 states/eV/f.u.

# 2
Tb2PbAu: optimized geometry, PBE-GGA.

Cell: 3.548 3.548 8.285 Å, 90.00 90.00 90.00°
Fractional positions:
Pb 0.500 0.500 0.500
Tb 0.000 0.000 0.778
Tb 0.000 0.000 0.222
Au 0.500 0.500 0.000

Summary:
**E_form**: -0.640 eV per atom
**Magnetic moment**: 0.00 μB/f.u.
**Symmetry**: No. 123
**D(E_F)**: 2.54 states/eV/f.u.

# 3
SmYTlCo: optimized geometry, PBE-GGA.

Cell: 5.171 5.171 5.171 Å, 60.00 60.00 60.00°
Fractional positions:
Y 0.750 0.750 0.750
Tl 0.000 0.000 0.000
Co 0.500 0.500 0.500
Sm 0.250 0.250 0.250

Summary:
**E_form**: -0.107 eV per atom
**Magnetic moment**: 1.26 μB/f.u.
**Symmetry**: No. 216
**D(E_F)**: 2.20 states/eV/f.u.

# 4
ReSiAu: optimized geometry, PBE-GGA.

Cell: 6.940 6.667 2.870 Å, 83.22 72.53 24.25°
Fractional positions:
Au 0.008 0.008 0.992
Re 0.317 0.317 0.683
Si 0.675 0.675 0.325

Summary:
**Magnetic moment**: 0.00 μB/f.u.
**Formation energy without anion corrections**: 0.41 eV/atom
**Symmetry**: No. 42
**E above lowest polymorph**: 0.59 eV/f.u.
**D(E_F)**: 1.85 states/eV/f.u.

# 5
AsIrBr2: optimized geometry, PBE-GGA.

Cell: 4.871 4.871 3.296 Å, 90.00 90.00 91.91°
Fractional positions:
As 0.000 0.500 0.500
Ir 0.500 0.000 0.500
Br 0.000 0.000 0.000
Br 0.500 0.500 0.000

Summary:
**Magnetic moment**: 0.01 μB/f.u.
**Formation energy without anion corrections**: 1.12 eV/atom
**Symmetry**: No. 65
**E above lowest polymorph**: 5.70 eV/f.u.
**D(E_F)**: 4.64 states/eV/f.u.

# 6
Y6Tl3H: optimized geometry, PBE-GGA.

Cell: 5.376 10.229 10.229 Å, 110.76 90.00 90.00°
Fractional positions:
Y 0.153 0.750 0.589
Y 0.653 0.589 0.750
Y 0.158 0.445 0.903
Y 0.658 0.903 0.445
Y 0.153 0.082 0.918
Y 0.668 0.238 0.762
Y 0.168 0.762 0.238
Y 0.653 0.918 0.082
Y 0.158 0.097 0.555
Y 0.658 0.555 0.097
Y 0.153 0.411 0.250
Y 0.653 0.250 0.411
Tl 0.650 0.921 0.759
Tl 0.150 0.759 0.921
Tl 0.151 0.417 0.583
Tl 0.651 0.583 0.417
Tl 0.150 0.079 0.241
Tl 0.650 0.241 0.079
H 0.091 0.213 0.787
H 0.591 0.787 0.213

Summary:
**Raw total energy**: -5.253 eV per atom
**Magnetic moment**: 0.00 μB/f.u.
**Symmetry**: No. 36
**D(E_F)**: 8.23 states/eV/f.u.

# 7
TlCdRe2C: optimized geometry, PBE-GGA.

Cell: 5.136 3.857 5.136 Å, 90.00 90.00 90.00°
Fractional positions:
Re 0.000 0.000 0.500
Re 0.500 0.000 0.000
Tl 0.500 0.500 0.500
C 0.000 0.500 0.000
Cd 0.000 0.000 0.000

Summary:
**E_form**: 3.025 eV per atom
**Magnetic moment**: 3.12 μB/f.u.
**Symmetry**: No. 123
**D(E_F)**: 3.48 states/eV/f.u.

# 8
AgPtCl: optimized geometry, PBE-GGA.

Cell: 6.310 6.310 6.310 Å, 152.53 152.53 39.25°
Fractional positions:
Ag 0.005 0.005 0.000
Pt 0.667 0.667 0.000
Cl 0.329 0.329 0.000

Summary:
**Magnetic moment**: 0.00 μB/f.u.
**Formation energy without anion corrections**: 0.33 eV/atom
**Symmetry**: No. 107
**E above lowest polymorph**: 0.21 eV/f.u.
**D(E_F)**: 3.91 states/eV/f.u.

# 9
Ac2Ge2Cl: optimized geometry, PBE-GGA.

Cell: 4.572 4.572 8.353 Å, 89.91 106.03 119.88°
Fractional positions:
Ac 0.833 0.417 0.249
Ac 0.167 0.583 0.751
Ge 0.339 0.170 0.509
Ge 0.661 0.830 0.491
Cl 0.000 0.000 0.000

Summary:
**Magnetic moment**: 0.00 μB/f.u.
**Formation energy without anion corrections**: -1.00 eV/atom
**Symmetry**: No. 12
**D(E_F)**: 3.11 states/eV/f.u.

# 10
Ce12PaIr6: optimized geometry, PBE-GGA.

Cell: 7.767 7.767 7.767 Å, 76.57 76.57 76.57°
Fractional positions:
Ce 0.520 0.186 0.520
Ce 0.186 0.520 0.520
Ce 0.520 0.520 0.186
Ce 0.480 0.814 0.480
Ce 0.814 0.480 0.480
Ce 0.480 0.480 0.814
Ce 0.542 0.136 0.136
Ce 0.864 0.458 0.864
Ce 0.864 0.864 0.458
Ce 0.458 0.864 0.864
Ce 0.136 0.542 0.136
Ce 0.136 0.136 0.542
Pa 0.000 0.000 0.000
Ir 0.234 0.892 0.234
Ir 0.108 0.766 0.766
Ir 0.766 0.766 0.108
Ir 0.766 0.108 0.766
Ir 0.892 0.234 0.234
Ir 0.234 0.234 0.892

Summary:
**E_form**: -0.341 eV per atom
**Magnetic moment**: 0.00 μB/f.u.
**Symmetry**: No. 166
**D(E_F)**: 40.08 states/eV/f.u.

# 11
Pr3Ho5Er4: optimized geometry, PBE-GGA.

Cell: 7.126 11.265 12.847 Å, 151.28 56.44 129.19°
Fractional positions:
Pr 0.586 0.168 0.334
Pr 0.000 0.000 0.500
Pr 0.414 0.832 0.666
Ho 0.333 0.669 0.836
Ho 0.500 0.000 0.500
Ho 0.748 0.502 0.001
Ho 0.252 0.498 0.999
Ho 0.667 0.331 0.164
Er 0.918 0.836 0.669
Er 0.833 0.666 0.834
Er 0.167 0.334 0.166
Er 0.082 0.164 0.331

Summary:
**E_form**: 0.021 eV per atom
**Magnetic moment**: 0.00 μB/f.u.
**Symmetry**: No. 2
**E above lowest polymorph**: 0.00 eV/f.u.
**D(E_F)**: 15.64 states/eV/f.u.

# 12
DyEr3Sc4: optimized geometry, PBE-GGA.

Cell: 5.987 6.911 10.730 Å, 90.00 90.00 90.00°
Fractional positions:
Dy 0.144 0.367 0.000
Dy 0.644 0.633 0.500
Er 0.643 0.633 0.000
Er 0.985 0.633 0.250
Er 0.485 0.367 0.250
Er 0.143 0.367 0.500
Er 0.485 0.367 0.750
Er 0.985 0.633 0.750
Sc 0.151 0.882 0.000
Sc 0.651 0.118 0.000
Sc 0.978 0.118 0.251
Sc 0.478 0.882 0.249
Sc 0.151 0.882 0.500
Sc 0.651 0.118 0.500
Sc 0.478 0.882 0.751
Sc 0.978 0.118 0.749

Summary:
**E_form**: 0.022 eV per atom
**Magnetic moment**: 0.01 μB/f.u.
**Symmetry**: No. 31
**D(E_F)**: 15.54 states/eV/f.u.